(1)
# KLiTlBrF

An optimized crystal structure of KLiTlBrF (GGA-PBE, Alexandria via LeMat-Bulk).

Values from the calculation:
- M_tot (μB per formula unit) = 0.00
- calculated density (g cm⁻³) = 4.38
- uncorrected formation energy (eV/atom) = -1.51
- offset from the most stable computed form (eV/atom) = 0.0000

Cell: 7.0433 7.0433 3.8213 Å, 97.55 97.55 44.86°
With the nearest neighbours (Å) after each atom.
Positions (direct):
K (0.0000, 0.0000, 0.0000)  2 F 2.59-2.61
Li (0.2615, 0.2615, 0.8579)  1 F 1.82
Tl (0.7070, 0.7070, 0.4375)  2 F 2.91, 2 Li 3.16
Br (0.3948, 0.3948, 0.4218)  2 Li 2.57
F (0.1369, 0.1369, 0.5708)  1 Li 1.82

(2)
# K2TmSnSe4

An optimized crystal structure of K2TmSnSe4 (GGA-PBE, Alexandria via LeMat-Bulk).

Values from the calculation:
- M_tot (μB per formula unit) = 0.00
- calculated density (g cm⁻³) = 4.54
- uncorrected formation energy (eV/atom) = -1.10

Cell: 6.8879 6.8879 6.8879 Å, 106.48 106.48 115.63°
With the nearest neighbours (Å) after each atom.
Positions (direct):
K (0.0000, 0.5000, 0.5000)  8 Se 3.55-3.56, 2 K 3.67
K (0.5000, 0.0000, 0.5000)  8 Se 3.55-3.56, 2 K 3.67
Tm (0.0000, 0.0000, 0.0000)  4 Se 2.72
Sn (0.5000, 0.5000, 0.0000)  4 Se 2.75
Se (0.0736, 0.0736, 0.6518)  1 Tm 2.72, 1 Sn 2.75
Se (0.4218, 0.4218, 0.3482)  1 Tm 2.72, 1 Sn 2.75
Se (0.5782, 0.9264, 0.0000)  1 Tm 2.72, 1 Sn 2.75
Se (0.9264, 0.5782, 0.0000)  1 Tm 2.72, 1 Sn 2.75

(3)
# Co2PbW

An optimized crystal structure of Co2PbW (GGA-PBE, Alexandria via LeMat-Bulk).

Values from the calculation:
- energy (eV per cell) = -28.193
- M_tot (μB per formula unit) = 0.47
- calculated density (g cm⁻³) = 14.17

Cell: 4.9079 4.9079 4.9079 Å, 134.28 134.28 66.65°
With the nearest neighbours (Å) after each atom.
Positions (direct):
Co (0.0000, 0.0000, 0.0000)  4 W 2.70, 4 Co 2.80, 4 Pb 2.80
Co (0.7500, 0.2500, 0.5000)  4 Pb 2.70, 4 Co 2.80, 4 W 2.80
Pb (0.2500, 0.7500, 0.5000)  8 Co 2.70-2.80, 4 W 2.80
W (0.5000, 0.5000, 0.0000)  8 Co 2.70-2.80, 4 Pb 2.80

(4)
# NdHo2

An optimized crystal structure of NdHo2 (GGA-PBE, Alexandria via LeMat-Bulk).

Values from the calculation:
- M_tot (μB per formula unit) = 0.00
- calculated density (g cm⁻³) = 8.10
- offset from the most stable computed form (eV/atom) = 0.0000

Cell: 3.6075 3.6075 8.8697 Å, 101.79 101.79 60.02°
With the nearest neighbours (Å) after each atom.
Positions (direct):
Nd (0.0000, 0.0000, 0.0000)  6 Ho 3.57-3.58, 6 Nd 3.61
Ho (0.2205, 0.2205, 0.6629)  9 Ho 3.49-3.61, 3 Nd 3.57-3.58
Ho (0.7795, 0.7795, 0.3371)  9 Ho 3.49-3.61, 3 Nd 3.57-3.58

(5)
# Sc4InIr

An optimized crystal structure of Sc4InIr (GGA-PBE, Alexandria via LeMat-Bulk).

Values from the calculation:
- M_tot (μB per formula unit) = 0.00
- calculated density (g cm⁻³) = 6.13
- offset from the most stable computed form (eV/atom) = 0.0000

Cell: 9.0683 9.0683 9.0683 Å, 60.00 60.00 60.00°
With the nearest neighbours (Å) after each atom.
Positions (direct):
Sc (0.0569, 0.0569, 0.4431)  2 Ir 2.64
Sc (0.0569, 0.4431, 0.0569)  2 Ir 2.64
Sc (0.0569, 0.4431, 0.4431)  2 Ir 2.64
Sc (0.1923, 0.1923, 0.8077)  2 In 3.00, 2 Sc 3.22, 2 Ir 3.23
Sc (0.1923, 0.8077, 0.1923)  2 In 3.00, 2 Sc 3.22, 2 Ir 3.23
Sc (0.1923, 0.8077, 0.8077)  2 In 3.00, 2 Sc 3.22, 2 Ir 3.23
Sc (0.1960, 0.6013, 0.6013)  3 Ir 2.70
Sc (0.4431, 0.0569, 0.0569)  2 Ir 2.64
Sc (0.4431, 0.0569, 0.4431)  2 Ir 2.64
Sc (0.4431, 0.4431, 0.0569)  2 Ir 2.64
Sc (0.6013, 0.1960, 0.6013)  3 Ir 2.70
Sc (0.6013, 0.6013, 0.1960)  3 Ir 2.70
Sc (0.6013, 0.6013, 0.6013)  3 Ir 2.70
Sc (0.8077, 0.1923, 0.1923)  2 In 3.00, 2 Sc 3.22, 2 Ir 3.23
Sc (0.8077, 0.1923, 0.8077)  2 In 3.00, 2 Sc 3.22, 2 Ir 3.23
Sc (0.8077, 0.8077, 0.1923)  2 In 3.00, 2 Sc 3.22, 2 Ir 3.23
In (0.4930, 0.8357, 0.8357)  9 Sc 3.00-3.24, 3 In 3.11
In (0.8357, 0.4930, 0.8357)  9 Sc 3.00-3.24, 3 In 3.11
In (0.8357, 0.8357, 0.4930)  9 Sc 3.00-3.24, 3 In 3.11
In (0.8357, 0.8357, 0.8357)  9 Sc 3.00-3.24, 3 In 3.11
Ir (0.3911, 0.3911, 0.3911)  6 Sc 2.64-2.70
Ir (0.3911, 0.3911, 0.8268)  6 Sc 2.64-2.70
Ir (0.3911, 0.8268, 0.3911)  6 Sc 2.64-2.70
Ir (0.8268, 0.3911, 0.3911)  6 Sc 2.64-2.70

(6)
# YTiNi4

An optimized crystal structure of YTiNi4 (GGA-PBE, Alexandria via LeMat-Bulk).

Values from the calculation:
- energy (eV per cell) = -39.424
- M_tot (μB per formula unit) = 0.00
- calculated density (g cm⁻³) = 7.30

Cell: 4.9264 4.9264 4.9264 Å, 60.00 60.00 60.00°
With the nearest neighbours (Å) after each atom.
Positions (direct):
Y (0.0000, 0.0000, 0.0000)  12 Ni 2.89, 4 Ti 3.02
Ti (0.7500, 0.7500, 0.7500)  12 Ni 2.89, 4 Y 3.02
Ni (0.3759, 0.3759, 0.3759)  6 Ni 2.45-2.48
Ni (0.3759, 0.3759, 0.8724)  6 Ni 2.45-2.48
Ni (0.3759, 0.8724, 0.3759)  6 Ni 2.45-2.48
Ni (0.8724, 0.3759, 0.3759)  6 Ni 2.45-2.48

(7)
# CuSb2TeO

An optimized crystal structure of CuSb2TeO (GGA-PBE, Alexandria via LeMat-Bulk).

Values from the calculation:
- M_tot (μB per formula unit) = 0.00
- calculated density (g cm⁻³) = 6.92
- uncorrected formation energy (eV/atom) = 0.28
- offset from the most stable computed form (eV/atom) = 0.0000

Cell: 4.6831 4.6831 4.9342 Å, 90.00 90.00 90.00°
With the nearest neighbours (Å) after each atom.
Positions (direct):
Cu (0.0000, 0.0000, 0.0000)  4 Te 3.31, 8 Sb 3.40
Sb (0.0000, 0.5000, 0.5000)  2 O 2.34
Sb (0.5000, 0.0000, 0.5000)  2 O 2.34
Te (0.5000, 0.5000, 0.0000)  2 O 2.47
O (0.5000, 0.5000, 0.5000)  4 Sb 2.34, 2 Te 2.47

(8)
# AcSm5Cd6

An optimized crystal structure of AcSm5Cd6 (GGA-PBE, Alexandria via LeMat-Bulk).

Values from the calculation:
- energy (eV per cell) = -36.809
- M_tot (μB per formula unit) = 1.78
- calculated density (g cm⁻³) = 7.97

Cell: 9.4417 9.4417 9.4417 Å, 146.48 131.58 60.18°
With the nearest neighbours (Å) after each atom.
Positions (direct):
Ac (0.0000, 0.0000, 0.0000)  8 Cd 3.44-3.47, 4 Sm 3.81
Sm (0.1628, 0.6628, 0.5000)  8 Cd 3.27-3.40
Sm (0.3306, 0.3306, 0.0000)  8 Cd 3.28-3.29
Sm (0.5000, 0.0000, 0.5000)  8 Cd 3.25-3.36
Sm (0.6694, 0.6694, 0.0000)  8 Cd 3.28-3.29
Sm (0.8372, 0.3372, 0.5000)  8 Cd 3.27-3.40
Cd (0.0894, 0.8279, 0.2615)  7 Sm 3.27-3.40, 1 Ac 3.47
Cd (0.2716, 0.5000, 0.7716)  6 Sm 3.25-3.39, 2 Ac 3.44, 1 Cd 3.54
Cd (0.4336, 0.1721, 0.2615)  7 Sm 3.27-3.40, 1 Ac 3.47
Cd (0.5664, 0.8279, 0.7385)  7 Sm 3.27-3.40, 1 Ac 3.47
Cd (0.7284, 0.5000, 0.2284)  6 Sm 3.25-3.39, 2 Ac 3.44, 1 Cd 3.54
Cd (0.9106, 0.1721, 0.7385)  7 Sm 3.27-3.40, 1 Ac 3.47

(9)
# LiBiPdF6

An optimized crystal structure of LiBiPdF6 (GGA-PBE, Alexandria via LeMat-Bulk).

Values from the calculation:
- M_tot (μB per formula unit) = 2.00
- calculated density (g cm⁻³) = 5.69
- uncorrected formation energy (eV/atom) = -2.06

Cell: 5.6029 5.6029 9.3670 Å, 90.00 90.00 120.00°
With the nearest neighbours (Å) after each atom.
Positions (direct):
Li (0.3333, 0.6667, 0.2500)  6 F 2.09
Li (0.6667, 0.3333, 0.7500)  6 F 2.09
Bi (0.3333, 0.6667, 0.7500)  6 F 2.29
Bi (0.6667, 0.3333, 0.2500)  6 F 2.29
Pd (0.0000, 0.0000, 0.0000)  6 F 2.23
Pd (0.0000, 0.0000, 0.5000)  6 F 2.23
F (0.0271, 0.3473, 0.1282)  1 Li 2.09, 1 Pd 2.23, 1 Bi 2.29
F (0.0271, 0.6798, 0.3718)  1 Li 2.09, 1 Pd 2.23, 1 Bi 2.29
F (0.3202, 0.3473, 0.3718)  1 Li 2.09, 1 Pd 2.23, 1 Bi 2.29
F (0.3202, 0.9729, 0.1282)  1 Li 2.09, 1 Pd 2.23, 1 Bi 2.29
F (0.3473, 0.0271, 0.6282)  1 Li 2.09, 1 Pd 2.23, 1 Bi 2.29
F (0.3473, 0.3202, 0.8718)  1 Li 2.09, 1 Pd 2.23, 1 Bi 2.29
F (0.6527, 0.6798, 0.1282)  1 Li 2.09, 1 Pd 2.23, 1 Bi 2.29
F (0.6527, 0.9729, 0.3718)  1 Li 2.09, 1 Pd 2.23, 1 Bi 2.29
F (0.6798, 0.0271, 0.8718)  1 Li 2.09, 1 Pd 2.23, 1 Bi 2.29
F (0.6798, 0.6527, 0.6282)  1 Li 2.09, 1 Pd 2.23, 1 Bi 2.29
F (0.9729, 0.3202, 0.6282)  1 Li 2.09, 1 Pd 2.23, 1 Bi 2.29
F (0.9729, 0.6527, 0.8718)  1 Li 2.09, 1 Pd 2.23, 1 Bi 2.29

(10)
# YS3F

An optimized crystal structure of YS3F (GGA-PBE, Alexandria via LeMat-Bulk).

Values from the calculation:
- M_tot (μB per formula unit) = 0.00
- calculated density (g cm⁻³) = 3.87
- uncorrected formation energy (eV/atom) = -0.43
- offset from the most stable computed form (eV/atom) = 0.0000

Cell: 4.4404 4.4404 4.4404 Å, 90.00 90.00 90.00°
With the nearest neighbours (Å) after each atom.
Positions (direct):
Y (0.0000, 0.0000, 0.0000)  12 S 3.14
S (0.0000, 0.5000, 0.5000)  2 F 2.22
S (0.5000, 0.0000, 0.5000)  2 F 2.22
S (0.5000, 0.5000, 0.0000)  2 F 2.22
F (0.5000, 0.5000, 0.5000)  6 S 2.22

Question: Which value of M_tot does entry 7 give?
Answer: 0.00 μB per formula unit

Question: M_tot of number 8 (AcSm5Cd6)?
Answer: 1.78 μB per formula unit

Copy entry 6 word for word.
# YTiNi4

An optimized crystal structure of YTiNi4 (GGA-PBE, Alexandria via LeMat-Bulk).

Values from the calculation:
- energy (eV per cell) = -39.424
- M_tot (μB per formula unit) = 0.00
- calculated density (g cm⁻³) = 7.30

Cell: 4.9264 4.9264 4.9264 Å, 60.00 60.00 60.00°
With the nearest neighbours (Å) after each atom.
Positions (direct):
Y (0.0000, 0.0000, 0.0000)  12 Ni 2.89, 4 Ti 3.02
Ti (0.7500, 0.7500, 0.7500)  12 Ni 2.89, 4 Y 3.02
Ni (0.3759, 0.3759, 0.3759)  6 Ni 2.45-2.48
Ni (0.3759, 0.3759, 0.8724)  6 Ni 2.45-2.48
Ni (0.3759, 0.8724, 0.3759)  6 Ni 2.45-2.48
Ni (0.8724, 0.3759, 0.3759)  6 Ni 2.45-2.48